MgPaI6: relaxed, PBE-GGA.

POSCAR file:
```
MgPaI6
1.0
7.574 0.009 0.007
3.778 6.565 0.012
3.775 2.182 6.864
Mg I Pa
1 6 1
Cartesian
7.563 4.378 3.442
6.428 2.221 1.755
6.266 6.444 1.760
8.860 2.311 5.124
5.124 4.281 5.123
8.698 6.535 5.129
10.002 4.475 1.761
0.000 0.000 0.000
```

- relative energy among the computed polymorphs (eV per atom) = 0.023
- SG = R-3
- energy relative to the elements, uncorrected (eV/atom) = -0.920
- volume (Å³ per atom) = 42.59
- DOS(E_F) (states/eV/atom) = 0.288



MgPaI6: relaxed, PBE-GGA.

POSCAR file:
```
MgPaI6
1.0
8.093 -0.532 -1.283
-4.702 6.609 -1.283
0.057 0.102 7.420
I Pa Mg
6 1 1
Cartesian
0.881 1.579 4.949
-0.923 2.637 1.267
2.567 4.600 -0.094
4.371 3.542 3.588
2.729 0.599 1.267
0.719 5.580 3.588
0.000 0.000 0.000
1.724 3.089 2.428
```

- relative energy among the computed polymorphs (eV per atom) = 0.000
- SG = C2/m
- energy relative to the elements, uncorrected (eV/atom) = -0.943
- volume (Å³ per atom) = 47.57
- DOS(E_F) (states/eV/atom) = 0.169



MgPb2I6: relaxed, PBE-GGA.

POSCAR file:
```
MgPb2I6
1.0
-0.244 -4.352 -0.960
5.341 0.456 6.953
-10.445 -0.291 3.977
I Pb Mg
6 2 1
Cartesian
-5.813 -1.322 7.472
2.484 -3.895 6.649
0.465 -2.866 2.498
-7.833 -0.293 3.321
-4.338 -2.756 3.224
-1.011 -1.431 6.746
1.690 -1.198 5.003
-7.038 -2.989 4.966
-5.223 -0.145 1.988
```

- relative energy among the computed polymorphs (eV per atom) = 0.000
- SG = C2/m
- energy relative to the elements, uncorrected (eV/atom) = -0.770
- volume (Å³ per atom) = 44.94
- DOS(E_F) (states/eV/atom) = 0.000



MgPb3I8: relaxed, PBE-GGA.

POSCAR file:
```
MgPb3I8
1.0
-5.660 2.887 6.563
-3.365 -3.882 -7.552
4.580 -5.164 6.221
I Pb Mg
8 3 1
Cartesian
-1.802 -2.321 -0.533
-4.797 -1.083 2.696
-4.185 -5.616 2.309
0.352 -5.076 2.536
-1.115 -7.182 -1.250
-3.331 1.022 6.483
-0.261 -0.543 2.923
-2.644 -3.838 5.765
-1.683 -1.941 -3.776
-4.513 -0.498 -0.495
-2.830 1.443 3.282
0.000 0.000 0.000
```

- SG = C2/m
- energy relative to the elements, uncorrected (eV/atom) = -0.740
- volume (Å³ per atom) = 45.73
- DOS(E_F) (states/eV/atom) = 0.000



Mg2PbI6: relaxed, PBE-GGA.

POSCAR file:
```
Mg2PbI6
1.0
7.704 0.000 0.000
0.000 6.561 -3.788
0.000 0.000 7.576
I Mg Pb
6 2 1
Cartesian
2.133 4.182 5.162
5.571 4.182 2.415
5.571 2.379 -1.374
2.133 0.000 4.829
5.571 6.561 -1.041
2.133 2.379 1.374
3.852 2.187 3.788
3.852 4.374 0.000
3.852 0.000 0.000
```

- relative energy among the computed polymorphs (eV per atom) = 0.000
- SG = P-31m
- energy relative to the elements, uncorrected (eV/atom) = -0.903
- volume (Å³ per atom) = 42.55
- DOS(E_F) (states/eV/atom) = 0.000



MgPb5I12: relaxed, PBE-GGA.

POSCAR file:
```
MgPb5I12
1.0
6.894 3.965 -0.001
-6.894 3.965 -0.001
0.000 0.004 15.362
Mg I Pb
1 12 5
Cartesian
0.000 0.000 0.000
0.000 6.615 5.775
-4.797 2.764 1.744
0.000 2.415 1.742
-4.797 5.169 13.615
0.000 5.518 13.617
2.298 5.283 9.589
2.298 2.649 5.770
4.797 5.169 13.615
-2.298 2.649 5.770
0.000 1.318 9.583
4.797 2.764 1.744
-2.298 5.283 9.589
-2.299 3.965 -0.001
4.594 3.966 7.679
-4.594 3.966 7.679
2.299 3.965 -0.001
0.000 3.966 7.679
```

- SG = C2/m
- energy relative to the elements, uncorrected (eV/atom) = -0.711
- volume (Å³ per atom) = 46.65
- DOS(E_F) (states/eV/atom) = 0.000



MgPb2I: relaxed, PBE-GGA.

POSCAR file:
```
MgPb2I
1.0
0.000 3.983 3.983
3.983 0.000 3.983
3.983 3.983 0.000
Mg Pb I
1 2 1
Cartesian
0.000 0.000 0.000
5.974 5.974 5.974
1.991 1.991 1.991
3.983 3.983 3.983
```

- relative energy among the computed polymorphs (eV per atom) = 0.141
- SG = Fm-3m
- energy relative to the elements, uncorrected (eV/atom) = 0.144
- volume (Å³ per atom) = 31.59
- DOS(E_F) (states/eV/atom) = 1.148



Mg2PbI: relaxed, PBE-GGA.

POSCAR file:
```
Mg2PbI
1.0
0.000 3.817 3.817
3.817 0.000 3.817
3.817 3.817 0.000
Mg I Pb
2 1 1
Cartesian
5.725 5.725 5.725
1.908 1.908 1.908
0.000 0.000 0.000
3.817 3.817 3.817
```

- relative energy among the computed polymorphs (eV per atom) = 0.314
- SG = Fm-3m
- energy relative to the elements, uncorrected (eV/atom) = 0.073
- volume (Å³ per atom) = 27.80
- DOS(E_F) (states/eV/atom) = 0.871



MgPb2I: relaxed, PBE-GGA.

POSCAR file:
```
MgPb2I
1.0
4.556 0.000 0.000
0.000 4.556 0.000
2.278 2.278 12.664
Pb I Mg
4 2 2
Cartesian
5.695 5.643 9.498
3.417 3.469 9.498
3.365 1.139 3.166
1.191 3.417 3.166
4.556 2.278 6.332
0.000 0.000 0.000
2.278 4.556 6.332
2.278 2.278 0.000
```

- relative energy among the computed polymorphs (eV per atom) = 0.000
- SG = I-42d
- energy relative to the elements, uncorrected (eV/atom) = 0.003
- volume (Å³ per atom) = 32.86
- DOS(E_F) (states/eV/atom) = 0.740



MgPbI: relaxed, PBE-GGA.

POSCAR file:
```
MgPbI
1.0
-1.187 3.338 -1.713
-2.570 -2.222 1.971
3.040 7.388 12.292
Mg Pb I
2 2 2
Cartesian
-1.621 3.925 4.251
-0.740 6.065 7.812
-1.058 -0.185 0.373
-1.638 3.142 7.259
1.291 5.521 9.867
-0.365 1.497 3.170
```

- SG = Amm2
- energy relative to the elements, uncorrected (eV/atom) = -0.336
- volume (Å³ per atom) = 32.68
- DOS(E_F) (states/eV/atom) = 0.227



Mg2PbI: relaxed, PBE-GGA.

POSCAR file:
```
Mg2PbI
1.0
-0.514 4.061 -0.799
-3.522 1.345 -1.784
-4.573 2.796 6.260
Pb Mg I
1 2 1
Cartesian
0.000 0.000 0.000
-6.540 6.177 2.941
-2.069 2.025 0.736
-4.304 4.101 1.838
```

- relative energy among the computed polymorphs (eV per atom) = 0.000
- SG = R-3m
- energy relative to the elements, uncorrected (eV/atom) = -0.241
- volume (Å³ per atom) = 29.68
- DOS(E_F) (states/eV/atom) = 0.384



MgPb2I6: relaxed, PBE-GGA.

POSCAR file:
```
MgPb2I6
1.0
7.467 0.000 0.000
0.000 7.467 0.000
0.000 0.000 14.033
Pb I Mg
4 12 2
Cartesian
0.000 0.000 9.333
3.733 3.733 11.716
0.000 0.000 4.699
3.733 3.733 2.317
2.317 2.317 9.173
5.341 5.341 0.000
6.051 1.416 11.876
5.860 1.607 7.016
2.317 2.317 4.860
1.607 5.860 7.016
6.051 1.416 2.157
1.416 6.051 11.876
5.150 5.150 9.173
5.150 5.150 4.860
1.416 6.051 2.157
2.126 2.126 0.000
3.733 3.733 7.016
0.000 0.000 0.000
```

- relative energy among the computed polymorphs (eV per atom) = 0.051
- SG = P4_2/mnm
- energy relative to the elements, uncorrected (eV/atom) = -0.719
- volume (Å³ per atom) = 43.47
- DOS(E_F) (states/eV/atom) = 0.000



MgPb2I2: relaxed, PBE-GGA.

POSCAR file:
```
MgPb2I2
1.0
9.534 0.000 0.000
0.000 9.534 0.000
0.000 0.000 3.919
I Mg Pb
4 2 4
Cartesian
8.226 6.075 0.000
3.459 8.226 0.000
1.308 3.459 0.000
6.075 1.308 0.000
0.000 0.000 0.000
4.767 4.767 0.000
6.422 7.878 1.959
1.656 6.422 1.959
3.111 1.656 1.959
7.878 3.111 1.959
```

- relative energy among the computed polymorphs (eV per atom) = 0.121
- SG = P4/mbm
- energy relative to the elements, uncorrected (eV/atom) = 0.082
- volume (Å³ per atom) = 35.62
- DOS(E_F) (states/eV/atom) = 0.664